Density functional theory data (PBE-GGA) for NaMn2Re after structural relaxation.

Cell lengths 5.646, 5.646, 5.646 Å; angles 104.18, 104.18, 120.66 degrees
Fractional coordinates of all 8 atoms:
Na: 0.000 0.000 0.000
Na: 0.750 0.250 0.500
Mn: 0.167 0.625 0.042
Mn: 0.375 0.417 0.542
Mn: 0.583 0.125 0.958
Mn: 0.875 0.833 0.458
Re: 0.250 0.750 0.500
Re: 0.500 0.500 0.000

Properties
Raw total energy, eV per atom: -6.90
Formation energy, eV per atom: 1.126
Total magnetization, μB per cell: 8.0
DOS(E_F), states/eV per atom: 0.672